A relaxed structure of Ac2NiTeO6, computed with GGA+U.

Results
The value obtained for the uncorrected energy is -6.55 eV per atom. The calculation puts the total magnetic moment at 4.00 Bohr magnetons per cell.

Lattice parameters (Å, degrees): 5.8615 6.0091 10.1427 90.00 124.77 90.00
Space group P2_1/c (No. 14)
Symmetry-distinct sites (fractional):
1 Ac 0.2364 0.0492 0.2485 [4 per cell]
2 Ni 0.0000 0.0000 0.5000 [2 per cell]
3 Te 0.5000 0.0000 0.0000 [2 per cell]
4 O 0.1519 0.2083 0.9510 [4 per cell]
5 O 0.2410 0.7043 0.9496 [4 per cell]
6 O 0.3389 0.0304 0.7455 [4 per cell]